1.
A plane-wave DFT calculation with SCAN was carried out for a PBEsol-optimized structure of ZrCd2MoBr.

Values from the calculation:
As for the space group: P4/mmm. The calculation puts the uncorrected formation energy at 1335.6 meV/atom. The calculation puts the total DFT energy (no corrections) at -27.839 eV/atom.

Geometry as POSCAR:
```
ZrCd2MoBr
1.0
5.144 0.000 0.000
0.000 5.144 0.000
0.000 0.000 4.540
Zr Cd Mo Br
1 2 1 1
Cartesian
0.000 0.000 0.000
0.000 2.572 2.270
2.572 0.000 2.270
2.572 2.572 0.000
2.572 2.572 2.270
```

***

2.
A plane-wave DFT calculation with SCAN was carried out for a PBEsol-optimized structure of ScNiOs2.

Values from the calculation:
As for the space group: Imm2. The value obtained for the formation energy is 0.02 eV/f.u. The calculation puts the total DFT energy (no corrections) at -43.539 eV/atom.

Geometry as POSCAR:
```
ScNiOs2
1.0
-1.501 2.165 4.370
1.501 -2.165 4.370
1.501 2.165 -4.370
Sc Ni Os
1 1 2
Cartesian
0.000 0.000 0.000
1.501 0.000 2.224
0.000 0.000 4.319
0.000 2.165 2.069
```

***

3.
A plane-wave DFT calculation with SCAN was carried out for a PBEsol-optimized structure of SrLaTa4.

Values from the calculation:
As for the space group: F-43m. The value obtained for the formation energy is 3.99 eV/f.u. The calculation puts the total DFT energy (no corrections) at -54.621 eV/atom.

Geometry as POSCAR:
```
SrLaTa4
1.0
0.000 4.077 4.077
4.077 0.000 4.077
4.077 4.077 0.000
Sr La Ta
1 1 4
Cartesian
0.000 0.000 0.000
6.116 6.116 6.116
3.054 3.054 3.054
5.100 5.100 3.054
5.100 3.054 5.100
3.054 5.100 5.100
```